No. 1
# Hf2AlGa2

Crystalline Hf2AlGa2 at its relaxed geometry (GGA-PBE, Alexandria).

Summary:
Magnetic moment (Bohr magnetons per cell): 0.00
Crystal system: tetragonal
Calculated formation energy (eV per atom): -0.442
Raw total energy (eV/cell): -63.83

```
data_Hf2AlGa2
_cell_length_a 6.6785
_cell_length_b 6.6785
_cell_length_c 4.0441
_cell_angle_alpha 90.00
_cell_angle_beta 90.00
_cell_angle_gamma 90.00
_symmetry_space_group_name_H-M 'P 4/m b m'
_symmetry_Int_Tables_number 127
_symmetry_space_group_name_Hall '-P 4 2ab'
loop_
_atom_site_label
_atom_site_fract_x
_atom_site_fract_y
_atom_site_fract_z
Hf1 0.1758 0.3242 0.0000
Al1 0.0000 0.0000 0.5000
Ga1 0.1293 0.6293 0.5000
```

***

No. 2
# CuMo2Rh

Crystalline CuMo2Rh at its relaxed geometry (GGA-PBE, Alexandria).

Summary:
Magnetic moment (Bohr magnetons per cell): 0.00
Crystal system: orthorhombic
Calculated formation energy (eV per atom): 0.077
Raw total energy (eV/cell): -65.61

```
data_CuMo2Rh
_cell_length_a 3.8082
_cell_length_b 3.8985
_cell_length_c 7.8887
_cell_angle_alpha 90.00
_cell_angle_beta 90.00
_cell_angle_gamma 90.00
_symmetry_space_group_name_H-M 'C m m 2'
_symmetry_Int_Tables_number 35
loop_
_symmetry_equiv_pos_as_xyz
'x,y,z'
'-x,-y,z'
'-x,y,z'
'x,-y,z'
'x+1/2,y+1/2,z'
'-x+1/2,-y+1/2,z'
'-x+1/2,y+1/2,z'
'x+1/2,-y+1/2,z'
loop_
_atom_site_label
_atom_site_fract_x
_atom_site_fract_y
_atom_site_fract_z
Cu1 0.0000 0.0000 0.0000
Mo1 0.0000 0.0000 0.4739
Mo2 0.0000 0.5000 0.7580
Rh1 0.0000 0.5000 0.2383
```

***

No. 3
# Nd5Tm7

Crystalline Nd5Tm7 at its relaxed geometry (GGA-PBE, Alexandria).

Summary:
Magnetic moment (Bohr magnetons per cell): 0.00
Crystal system: monoclinic
Calculated formation energy (eV per atom): 0.181
Raw total energy (eV/cell): -105.94

```
data_Nd5Tm7
_cell_length_a 9.7205
_cell_length_b 5.6532
_cell_length_c 14.6925
_cell_angle_alpha 90.00
_cell_angle_beta 102.89
_cell_angle_gamma 90.00
_symmetry_space_group_name_H-M 'C 1 2/m 1'
_symmetry_Int_Tables_number 12
loop_
_symmetry_equiv_pos_as_xyz
'x,y,z'
'-x,-y,-z'
'-x,y,-z'
'x,-y,z'
'x+1/2,y+1/2,z'
'-x+1/2,-y+1/2,-z'
'-x+1/2,y+1/2,-z'
'x+1/2,-y+1/2,z'
loop_
_atom_site_label
_atom_site_fract_x
_atom_site_fract_y
_atom_site_fract_z
Nd1 0.0000 0.0000 0.0000
Nd2 0.1031 0.5000 0.7997
Nd3 0.1433 0.0000 0.4351
Tm1 0.0000 0.5000 0.5000
Tm2 0.0671 0.0000 0.2146
Tm3 0.1925 0.5000 0.0826
Tm4 0.2275 0.0000 0.6729
```